(1)
## YbAg2Pb (PBE)

Data for a relaxed structure of YbAg2Pb.

Calculated values
M_tot ... 0.00 μB per formula unit
ΔH_f (0 K) ... -310 meV/atom

a b c (Å): 7.1403 7.1403 7.1403
angles (deg): 90.00 90.00 90.00
With the nearest neighbours (Å) after each atom.
Space group Fm-3m (No. 225)
Symmetry-distinct sites (fractional):
Yb  0.0000  0.0000  0.0000 x4  8 Ag 3.09
Ag  0.2500  0.2500  0.2500 x8  4 Pb 3.09, 4 Yb 3.09
Pb  0.0000  0.0000  0.5000 x4  8 Ag 3.09

(2)
## Na2GeO2 (PBE)

Data for a relaxed structure of Na2GeO2.

Calculated values
M_tot ... 0.00 μB per formula unit
Formation energy from raw total energies ... -1436.6 meV per atom

a b c (Å): 11.6083 4.3072 6.7343
angles (deg): 90.00 102.44 90.00
With the nearest neighbours (Å) after each atom.
Space group C2/m (No. 12)
Symmetry-distinct sites (fractional):
Na  0.0269  0.0000  0.2775 x4  3 O 2.26-2.28
Na  0.1440  0.5000  0.9213 x4  5 O 2.38-2.63
Ge  0.2326  0.5000  0.3897 x4  2 O 1.80
O  0.0840  0.5000  0.2387 x4  1 Ge 1.80
O  0.1723  0.0000  0.7894 x4  1 Ge 1.80

(3)
## PrPu2Mg (PBE)

Data for a relaxed structure of PrPu2Mg.

Calculated values
Energy above the most stable polymorph in this dataset ... 0.049 eV per atom
M_tot ... 11.87 μB per formula unit
ΔH_f (0 K) ... 233 meV/atom

a b c (Å): 3.2916 3.2916 10.5088
angles (deg): 90.00 90.00 90.00
With the nearest neighbours (Å) after each atom.
Space group P4/mmm (No. 123)
Symmetry-distinct sites (fractional):
Pr  0.0000  0.0000  0.0000 x1  4 Pr 3.29, 8 Pu 3.62
Pu  0.5000  0.5000  0.2633 x2  4 Pu 3.29, 4 Mg 3.41, 4 Pr 3.62
Mg  0.0000  0.0000  0.5000 x1  4 Mg 3.29, 8 Pu 3.41

(4)
## K2LiMo (PBE)

Data for a relaxed structure of K2LiMo.

Calculated values
Energy above the most stable polymorph in this dataset ... 0.018 eV per atom
M_tot ... 0.05 μB per formula unit
ΔH_f (0 K) ... 1032 meV/atom

a b c (Å): 3.0935 3.0935 11.6940
angles (deg): 90.00 90.00 90.00
With the nearest neighbours (Å) after each atom.
Space group P4mm (No. 99)
Symmetry-distinct sites (fractional):
K  0.0000  0.0000  0.0000 x1  4 K 3.09
K  0.5000  0.5000  0.3586 x1  4 K 3.09
Li  0.0000  0.0000  0.6106 x1  4 Mo 2.79, 4 Li 3.09
Mo  0.5000  0.5000  0.7586 x1  4 Li 2.79, 4 Mo 3.09

(5)
## KMn3Te (PBE)

Data for a relaxed structure of KMn3Te.

Calculated values
Energy above the most stable polymorph in this dataset ... 0.000 eV per atom
M_tot ... 10.07 μB per formula unit
Formation energy from raw total energies ... 919.5 meV per atom

a b c (Å): 5.0888 5.0888 5.0888
angles (deg): 90.00 90.00 90.00
With the nearest neighbours (Å) after each atom.
Space group Pm-3m (No. 221)
Symmetry-distinct sites (fractional):
K  0.0000  0.0000  0.0000 x1  12 Mn 3.60
Mn  0.0000  0.5000  0.5000 x3  2 Te 2.54
Te  0.5000  0.5000  0.5000 x1  6 Mn 2.54

(6)
## PaTlAs2O8 (PBE)

Data for a relaxed structure of PaTlAs2O8.

Calculated values
M_tot ... 0.09 μB per formula unit
Formation energy from raw total energies ... -1869.1 meV per atom

a b c (Å): 5.7530 5.7530 8.3834
angles (deg): 90.00 90.00 120.00
With the nearest neighbours (Å) after each atom.
Space group P-3m1 (No. 164)
Symmetry-distinct sites (fractional):
Pa  0.0000  0.0000  0.0000 x1  6 O 2.16
Tl  0.0000  0.0000  0.5000 x1  12 O 3.36-3.38
As  0.3333  0.6667  0.7607 x2  4 O 1.66-1.74
O  0.1737  0.3473  0.8457 x6  1 As 1.74
O  0.3333  0.6667  0.5630 x2  1 As 1.66

(7)
## RbGa3Tc (PBE)

Data for a relaxed structure of RbGa3Tc.

Calculated values
Energy above the most stable polymorph in this dataset ... 0.000 eV per atom
M_tot ... 0.00 μB per formula unit
ΔH_f (0 K) ... -143 meV/atom

a b c (Å): 4.9531 4.9531 4.9531
angles (deg): 90.00 90.00 90.00
With the nearest neighbours (Å) after each atom.
Space group Pm-3m (No. 221)
Symmetry-distinct sites (fractional):
Rb  0.0000  0.0000  0.0000 x1  12 Ga 3.50
Ga  0.0000  0.5000  0.5000 x3  2 Tc 2.48
Tc  0.5000  0.5000  0.5000 x1  6 Ga 2.48

(8)
## GdPuCdPb (PBE)

Data for a relaxed structure of GdPuCdPb.

Calculated values
M_tot ... 0.66 μB per formula unit
ΔH_f (0 K) ... -200 meV/atom

a b c (Å): 7.6633 7.6633 7.6633
angles (deg): 90.00 90.00 90.00
With the nearest neighbours (Å) after each atom.
Space group F-43m (No. 216)
Symmetry-distinct sites (fractional):
Gd  0.0000  0.0000  0.0000 x4  4 Cd 3.32, 4 Pb 3.32
Pu  0.0000  0.0000  0.5000 x4  4 Cd 3.32, 4 Pb 3.32
Cd  0.2500  0.2500  0.7500 x4  4 Gd 3.32, 4 Pu 3.32
Pb  0.2500  0.2500  0.2500 x4  4 Gd 3.32, 4 Pu 3.32

(9)
## NaZrSi2Ru (PBE)

Data for a relaxed structure of NaZrSi2Ru.

Calculated values
M_tot ... 0.61 μB per formula unit
Formation energy from raw total energies ... 1767.5 meV per atom

a b c (Å): 4.5632 4.5632 4.7105
angles (deg): 90.00 90.00 90.00
With the nearest neighbours (Å) after each atom.
Space group P4/mmm (No. 123)
Symmetry-distinct sites (fractional):
Na  0.0000  0.0000  0.0000 x1  4 Si 2.28, 2 Zr 2.36
Zr  0.0000  0.0000  0.5000 x1  2 Na 2.36
Si  0.0000  0.5000  0.0000 x2  2 Na 2.28
Ru  0.5000  0.5000  0.5000 x1  4 Zr 3.23, 8 Si 3.28

(10)
## ThPb5 (PBE)

Data for a relaxed structure of ThPb5.

Calculated values
Energy above the most stable polymorph in this dataset ... 0.037 eV per atom
M_tot ... 0.00 μB per formula unit
ΔH_f (0 K) ... -53 meV/atom

a b c (Å): 5.9716 10.8357 5.9425
angles (deg): 90.00 107.39 90.00
With the nearest neighbours (Å) after each atom.
Space group C2/m (No. 12)
Symmetry-distinct sites (fractional):
Th  0.0000  0.0000  0.0000 x2  12 Pb 3.44-3.55
Pb  0.0000  0.1608  0.5000 x4  2 Th 3.44, 10 Pb 3.46-3.68
Pb  0.0000  0.3279  0.0000 x4  9 Pb 3.43-3.73, 3 Th 3.52-3.55
Pb  0.0000  0.5000  0.5000 x2  10 Pb 3.46-3.68, 2 Th 3.53

(11)
## BeTl2Ag (PBE)

Data for a relaxed structure of BeTl2Ag.

Calculated values
M_tot ... 0.00 μB per formula unit
ΔH_f (0 K) ... 529 meV/atom

a b c (Å): 6.7200 7.1909 3.6094
angles (deg): 90.00 91.35 90.00
With the nearest neighbours (Å) after each atom.
Space group C2/m (No. 12)
Symmetry-distinct sites (fractional):
Be  0.0000  0.0000  0.0000 x2  8 Tl 3.03-3.07, 2 Ag 3.36
Tl  0.2500  0.2500  0.5000 x4  4 Be 3.03-3.07, 4 Ag 3.03-3.07, 2 Tl 3.36
Ag  0.0000  0.5000  0.0000 x2  8 Tl 3.03-3.07, 2 Be 3.36

(12)
## ZnIN2O (PBE)

Data for a relaxed structure of ZnIN2O.

Calculated values
M_tot ... 0.00 μB per formula unit
Formation energy from raw total energies ... 1488.1 meV per atom

a b c (Å): 4.0307 4.0307 3.7840
angles (deg): 90.00 90.00 90.00
With the nearest neighbours (Å) after each atom.
Space group P4/mmm (No. 123)
Symmetry-distinct sites (fractional):
Zn  0.0000  0.0000  0.0000 x1  2 O 1.89, 4 N 2.02
I  0.5000  0.5000  0.5000 x1  8 N 2.76, 4 O 2.85
N  0.0000  0.5000  0.0000 x2  2 Zn 2.02
O  0.0000  0.0000  0.5000 x1  2 Zn 1.89

no.,calculated density (g/cm3)
1,10.874
2,3.043
3,9.526
4,2.687
5,4.177
6,4.929
7,5.365
8,10.639
9,4.596
10,11.477
11,10.012
12,6.383